Record 1
# InGaPd3

InGaPd3 after structural relaxation (PBE, Alexandria via LeMat-Bulk).

```
data_InGaPd3
_cell_length_a 6.5003
_cell_length_b 6.5003
_cell_length_c 4.8350
_cell_angle_alpha 90.00
_cell_angle_beta 90.00
_cell_angle_gamma 120.00
_space_group_name_H-M_alt 'P 63/m m c'
_space_group_IT_number 194
_space_group_name_Hall '-P 6c 2c'
loop_
_atom_site_label
_atom_site_type_symbol
_atom_site_fract_x
_atom_site_fract_y
_atom_site_fract_z
In1 In 0.3333 0.6667 0.2500
Ga1 Ga 0.0000 0.0000 0.0000
Pd1 Pd 0.1925 0.3850 0.7500
```

Crystal system: hexagonal
Energy of formation from the pure elements, eV/atom: -0.329

Record 2
# BeZnRe

BeZnRe after structural relaxation (PBE, Alexandria via LeMat-Bulk).

```
data_BeZnRe
_cell_length_a 4.0606
_cell_length_b 4.0606
_cell_length_c 2.6259
_cell_angle_alpha 90.00
_cell_angle_beta 90.00
_cell_angle_gamma 120.00
_space_group_name_H-M_alt 'P -6 m 2'
_space_group_IT_number 187
_space_group_name_Hall 'P -6 2'
loop_
_atom_site_label
_atom_site_type_symbol
_atom_site_fract_x
_atom_site_fract_y
_atom_site_fract_z
Be1 Be 0.0000 0.0000 0.0000
Zn1 Zn 0.3333 0.6667 0.0000
Re1 Re 0.6667 0.3333 0.5000
```

Crystal system: hexagonal
Energy of formation from the pure elements, eV/atom: 0.190

Record 3
# LuTh2

LuTh2 after structural relaxation (PBE, Alexandria via LeMat-Bulk).

```
data_LuTh2
_cell_length_a 4.150
_cell_length_b 4.150
_cell_length_c 10.924
_cell_angle_alpha 90.00
_cell_angle_beta 90.00
_cell_angle_gamma 90.00
_space_group_name_H-M_alt 'I 4/m m m'
_space_group_IT_number 139
_space_group_name_Hall '-I 4 2'
loop_
_atom_site_label
_atom_site_type_symbol
_atom_site_fract_x
_atom_site_fract_y
_atom_site_fract_z
Lu1 Lu 0.000 0.000 0.000
Th1 Th 0.000 0.000 0.338
```

Crystal system: tetragonal
Energy of formation from the pure elements, eV/atom: 0.118

Record 4
# CsScCo2

CsScCo2 after structural relaxation (PBE, Alexandria via LeMat-Bulk).

```
data_CsScCo2
_cell_length_a 5.007
_cell_length_b 5.007
_cell_length_c 17.206
_cell_angle_alpha 90.00
_cell_angle_beta 90.00
_cell_angle_gamma 90.00
_space_group_name_H-M_alt 'I 41/a m d'
_space_group_IT_number 141
loop_
_space_group_symop_operation_xyz
'x,y,z'
'-x,-y,-z'
'-y+1/4,x+3/4,z+1/4'
'y+1/4,-x+3/4,-z+1/4'
'-x+1/2,-y,z+1/2'
'x+1/2,y,-z+1/2'
'y+1/4,-x+1/4,z+3/4'
'-y+1/4,x+1/4,-z+3/4'
'x,-y,-z'
'-x,y,z'
'-y+1/4,-x+1/4,-z+3/4'
'y+1/4,x+1/4,z+3/4'
'-x+1/2,y,-z+1/2'
'x+1/2,-y,z+1/2'
'y+1/4,x+3/4,-z+1/4'
'-y+1/4,-x+3/4,z+1/4'
'x+1/2,y+1/2,z+1/2'
'-x+1/2,-y+1/2,-z+1/2'
'-y+3/4,x+1/4,z+3/4'
'y+3/4,-x+1/4,-z+3/4'
'-x,-y+1/2,z'
'x,y+1/2,-z'
'y+3/4,-x+3/4,z+1/4'
'-y+3/4,x+3/4,-z+1/4'
'x+1/2,-y+1/2,-z+1/2'
'-x+1/2,y+1/2,z+1/2'
'-y+3/4,-x+3/4,-z+1/4'
'y+3/4,x+3/4,z+1/4'
'-x,y+1/2,-z'
'x,-y+1/2,z'
'y+3/4,x+1/4,-z+3/4'
'-y+3/4,-x+1/4,z+3/4'
loop_
_atom_site_label
_atom_site_type_symbol
_atom_site_fract_x
_atom_site_fract_y
_atom_site_fract_z
Cs1 Cs 0.000 0.250 0.375
Sc1 Sc 0.000 0.250 0.875
Co1 Co 0.000 0.000 0.000
```

Crystal system: tetragonal
Energy of formation from the pure elements, eV/atom: 0.967

Record 5
# SrBeSb2

SrBeSb2 after structural relaxation (PBE, Alexandria via LeMat-Bulk).

```
data_SrBeSb2
_cell_length_a 5.842
_cell_length_b 5.842
_cell_length_c 15.240
_cell_angle_alpha 90.00
_cell_angle_beta 90.00
_cell_angle_gamma 90.00
_space_group_name_H-M_alt 'I -4 2 d'
_space_group_IT_number 122
_space_group_name_Hall 'I -4 2bw'
loop_
_atom_site_label
_atom_site_type_symbol
_atom_site_fract_x
_atom_site_fract_y
_atom_site_fract_z
Sr1 Sr 0.000 0.000 0.000
Be1 Be 0.000 0.000 0.500
Sb1 Sb 0.082 0.250 0.625
```

Crystal system: tetragonal
Formation energy (no corrections), eV per formula unit: -0.868

Record 6
# PmTlCdIn

PmTlCdIn after structural relaxation (PBE, Alexandria via LeMat-Bulk).

```
data_PmTlCdIn
_cell_length_a 4.645
_cell_length_b 4.729
_cell_length_c 4.743
_cell_angle_alpha 90.00
_cell_angle_beta 90.00
_cell_angle_gamma 90.00
_space_group_name_H-M_alt 'P m m m'
_space_group_IT_number 47
loop_
_space_group_symop_operation_xyz
'x,y,z'
'-x,-y,-z'
'-x,-y,z'
'x,y,-z'
'x,-y,-z'
'-x,y,z'
'-x,y,-z'
'x,-y,z'
loop_
_atom_site_label
_atom_site_type_symbol
_atom_site_fract_x
_atom_site_fract_y
_atom_site_fract_z
Pm1 Pm 0.000 0.000 0.000
Tl1 Tl 0.500 0.500 0.000
Cd1 Cd 0.000 0.500 0.500
In1 In 0.500 0.000 0.500
```

Crystal system: orthorhombic
Energy of formation from the pure elements, eV/atom: -0.354

Record 7
# Ag5Sn2Au5

Ag5Sn2Au5 after structural relaxation (PBE, Alexandria via LeMat-Bulk).

```
data_Ag5Sn2Au5
_cell_length_a 12.982
_cell_length_b 4.244
_cell_length_c 9.296
_cell_angle_alpha 90.00
_cell_angle_beta 117.68
_cell_angle_gamma 90.00
_space_group_name_H-M_alt 'C 1 2/m 1'
_space_group_IT_number 12
loop_
_space_group_symop_operation_xyz
'x,y,z'
'-x,-y,-z'
'-x,y,-z'
'x,-y,z'
'x+1/2,y+1/2,z'
'-x+1/2,-y+1/2,-z'
'-x+1/2,y+1/2,-z'
'x+1/2,-y+1/2,z'
loop_
_atom_site_label
_atom_site_type_symbol
_atom_site_fract_x
_atom_site_fract_y
_atom_site_fract_z
Ag1 Ag 0.000 0.000 0.000
Ag2 Ag 0.172 0.000 0.504
Ag3 Ag 0.246 0.000 0.252
Sn1 Sn 0.086 0.000 0.756
Au1 Au 0.000 0.500 0.500
Au2 Au 0.084 0.500 0.254
Au3 Au 0.166 0.500 0.008
```

Crystal system: monoclinic
Energy of formation from the pure elements, eV/atom: -0.053

Record 8
# ReSiSnHg2

ReSiSnHg2 after structural relaxation (PBE, Alexandria via LeMat-Bulk).

```
data_ReSiSnHg2
_cell_length_a 4.939
_cell_length_b 4.939
_cell_length_c 5.377
_cell_angle_alpha 90.00
_cell_angle_beta 90.00
_cell_angle_gamma 90.00
_space_group_name_H-M_alt 'P 4/m m m'
_space_group_IT_number 123
_space_group_name_Hall '-P 4 2'
loop_
_atom_site_label
_atom_site_type_symbol
_atom_site_fract_x
_atom_site_fract_y
_atom_site_fract_z
Re1 Re 0.000 0.000 0.000
Si1 Si 0.500 0.500 0.500
Sn1 Sn 0.500 0.500 0.000
Hg1 Hg 0.000 0.500 0.500
```

Crystal system: tetragonal
Formation energy (no corrections), eV per formula unit: 7.039